No. 1
The following is a PBE calculation of a geometry-optimized Sr2YPaS6 structure, from the Alexandria database.

Results
- formation energy without anion corrections (eV per atom) = -1.96

a b c (Å): 6.985 7.457 10.163
angles (deg): 90.00 89.59 90.00
Positions (direct):
Sr  0.473  0.421  0.248
Sr  0.973  0.079  0.748
Sr  0.027  0.921  0.252
Sr  0.527  0.579  0.752
Pa  0.000  0.500  0.000
Pa  0.500  0.000  0.500
S  0.116  0.462  0.754
S  0.304  0.692  0.059
S  0.186  0.201  0.063
S  0.314  0.701  0.437
S  0.696  0.308  0.941
S  0.196  0.192  0.441
S  0.686  0.299  0.563
S  0.814  0.799  0.937
S  0.884  0.538  0.246
S  0.616  0.038  0.254
S  0.384  0.962  0.746
S  0.804  0.808  0.559
Y  0.500  0.000  0.000
Y  0.000  0.500  0.500


No. 2
The following is a PBE calculation of a geometry-optimized Sr2PaZnS5 structure, from the Alexandria database.

Results
- formation energy without anion corrections (eV per atom) = -1.65

a b c (Å): 4.015 9.021 12.426
angles (deg): 90.00 90.00 102.86
Positions (direct):
S  0.291  0.582  0.668
S  0.310  0.620  0.368
S  0.690  0.380  0.868
S  0.644  0.288  0.507
S  0.051  0.102  0.042
S  0.709  0.418  0.168
S  0.949  0.898  0.542
S  0.356  0.712  0.007
S  0.501  0.003  0.274
S  0.499  0.997  0.774
Sr  0.879  0.757  0.820
Sr  0.121  0.243  0.320
Sr  0.891  0.782  0.186
Sr  0.109  0.218  0.686
Zn  0.554  0.109  0.939
Zn  0.446  0.891  0.439
Pa  0.205  0.410  0.019
Pa  0.795  0.590  0.519


No. 3
The following is a PBE calculation of a geometry-optimized Pa2TaS6 structure, from the Alexandria database.

Results
- formation energy without anion corrections (eV per atom) = -1.43

a b c (Å): 7.132 6.118 8.551
angles (deg): 91.04 90.00 90.00
Positions (direct):
Pa  0.628  0.043  0.247
Pa  0.128  0.457  0.253
Pa  0.372  0.957  0.753
Pa  0.872  0.543  0.747
Ta  0.500  0.500  0.000
Ta  0.000  0.000  0.500
S  0.675  0.843  0.939
S  0.325  0.157  0.061
S  0.537  0.354  0.733
S  0.687  0.850  0.563
S  0.313  0.150  0.437
S  0.187  0.650  0.937
S  0.825  0.343  0.439
S  0.037  0.146  0.767
S  0.175  0.657  0.561
S  0.963  0.854  0.233
S  0.813  0.350  0.063
S  0.463  0.646  0.267


no.,total energy (eV per atom),M_tot (Bohr magnetons per cell)
1,-6.37,0.0
2,-5.51,2.0
3,-7.61,0.0